No. 1
Nd4Co2Hg3 | PBE | relaxed

Cell lengths 7.472, 3.796, 8.127 Å; angles 90.00, 108.39, 90.00 degrees
Space group P2/m (No. 10)
One atom of each set of equivalent atoms:
1 Nd 0.091 0.000 0.222 (multiplicity 2)
2 Nd 0.395 0.000 0.695 (multiplicity 2)
3 Co 0.354 0.500 0.399 (multiplicity 2)
4 Hg 0.000 0.500 0.500 (multiplicity 1)
5 Hg 0.293 0.500 0.005 (multiplicity 2)

Values from the calculation:
For the formation energy, the calculation gives -335 meV/atom.

***

No. 2
Pm2HgPb5 | PBE | relaxed

Cell lengths 6.861, 13.736, 4.857 Å; angles 90.00, 90.00, 90.00 degrees
Space group Pbam (No. 55)
One atom of each set of equivalent atoms:
1 Pm 0.247 0.125 0.000 (multiplicity 4)
2 Hg 0.000 0.500 0.500 (multiplicity 2)
3 Pb 0.000 0.000 0.500 (multiplicity 2)
4 Pb 0.006 0.749 0.500 (multiplicity 4)
5 Pb 0.243 0.378 0.000 (multiplicity 4)

***

No. 3
Pa4Se3S4 | PBE | relaxed

Cell lengths 3.858, 8.125, 15.761 Å; angles 90.00, 90.00, 90.00 degrees
Space group Immm (No. 71)
One atom of each set of equivalent atoms:
1 Pa 0.000 0.000 0.249 (multiplicity 4)
2 Pa 0.000 0.225 0.000 (multiplicity 4)
3 Se 0.000 0.000 0.500 (multiplicity 2)
4 Se 0.000 0.500 0.402 (multiplicity 4)
5 S 0.000 0.307 0.170 (multiplicity 8)

***

No. 4
TaGeAu2 | PBE | relaxed

Cell lengths 6.568, 6.568, 6.568 Å; angles 90.00, 90.00, 90.00 degrees
Space group F-43m (No. 216)
One atom of each set of equivalent atoms:
1 Ta 0.000 0.000 0.000 (multiplicity 4)
2 Ge 0.250 0.250 0.750 (multiplicity 4)
3 Au 0.000 0.000 0.500 (multiplicity 4)
4 Au 0.250 0.250 0.250 (multiplicity 4)

***

Number 1: total energy -4.130 eV per atom. Number 2: total energy -3.925 eV per atom. Number 3: total energy -7.417 eV per atom. Number 4: total energy -5.567 eV per atom.